ErCdInBr6, relaxed, DFT PBE; formation energy (no corrections) = -1.262 eV/atom
1.0
7.2485 0.0000 0.0000
-3.6243 6.2774 0.0000
0.0000 0.0000 14.4993
Er Cd In Br
2 2 2 12
Direct
0.3333 0.6667 0.2500
0.6667 0.3333 0.7500
0.3333 0.6667 0.7500
0.6667 0.3333 0.2500
0.0000 0.0000 0.0000
0.0000 0.0000 0.5000
0.0029 0.3700 0.1386
0.0029 0.6328 0.3614
0.3672 0.3700 0.3614
0.3672 0.9971 0.1386
0.3700 0.0029 0.6386
0.3700 0.3672 0.8614
0.6300 0.6328 0.1386
0.6300 0.9971 0.3614
0.6328 0.0029 0.8614
0.6328 0.6300 0.6386
0.9971 0.3672 0.6386
0.9971 0.6300 0.8614

Th5ZrP6, relaxed, DFT PBE; calculated formation energy = -1.487 eV per atom
1.0
3.5310 -6.1283 0.0000
3.5310 6.1283 0.0000
-2.3747 0.0000 6.6569
Th Zr P
5 1 6
Direct
0.0000 0.0000 0.0000
0.1656 0.8344 0.5000
0.3303 0.6697 0.0000
0.6697 0.3303 0.0000
0.8344 0.1656 0.5000
0.5000 0.5000 0.5000
0.0997 0.4207 0.2599
0.2615 0.2615 0.7450
0.4207 0.0997 0.2599
0.5793 0.9003 0.7401
0.7385 0.7385 0.2550
0.9003 0.5793 0.7401

Ac4Ge5Mo, relaxed, DFT PBE; calculated formation energy = -0.342 eV per atom
1.0
-4.8161 4.8161 3.2377
4.8161 -4.8161 3.2377
4.8161 4.8161 -3.2377
Ac Ge Mo
4 5 1
Direct
0.0853 0.6966 0.7819
0.3034 0.0853 0.3886
0.6966 0.9147 0.6114
0.9147 0.3034 0.2181
0.0844 0.0844 0.0000
0.2456 0.4106 0.6526
0.4106 0.7580 0.1650
0.5930 0.2456 0.8350
0.7580 0.5930 0.3474
0.4588 0.4588 0.0000

SmEr3Tm7, relaxed, DFT PBE; energy above the lowest structure with this stoichiometry = 0 meV/atom; calculated formation energy = 0.160 eV per atom
1.0
6.8459 0.0000 0.0000
0.0000 5.4509 0.0000
-3.2147 0.0000 9.2468
Sm Er Tm
1 3 7
Direct
0.0000 0.0000 0.0000
0.2754 0.5000 0.4940
0.5000 0.0000 0.0000
0.7246 0.5000 0.5060
0.0000 0.0000 0.5000
0.1512 0.5000 0.7903
0.3223 0.5000 0.1421
0.4294 0.0000 0.3321
0.5706 0.0000 0.6679
0.6777 0.5000 0.8579
0.8488 0.5000 0.2097

SrVH, relaxed, DFT PBE; energy above the lowest structure with this stoichiometry = 830 meV/atom
1.0
3.7592 0.0000 0.0000
-1.8796 3.2555 0.0000
0.0000 0.0000 12.9824
Sr V H
2 2 2
Direct
0.0000 0.0000 0.2500
0.0000 0.0000 0.7500
0.0000 0.0000 0.0000
0.0000 0.0000 0.5000
0.3333 0.6667 0.2500
0.6667 0.3333 0.7500

PrPaPt2, relaxed, DFT PBE; energy above the lowest structure with this stoichiometry = 108 meV/atom; calculated formation energy = -0.907 eV per atom
1.0
3.5812 0.0000 0.0000
0.0000 3.5812 0.0000
0.0000 0.0000 7.2672
Pr Pa Pt
1 1 2
Direct
0.0000 0.0000 0.0000
0.0000 0.0000 0.5000
0.5000 0.5000 0.2905
0.5000 0.5000 0.7095

Cd2HgBr, relaxed, DFT PBE; energy above the lowest structure with this stoichiometry = 128 meV/atom; formation energy (no corrections) = -0.078 eV/atom
1.0
3.2535 -4.2008 0.0000
3.2535 4.2008 0.0000
0.0000 0.0000 3.8711
Cd Hg Br
2 1 1
Direct
0.0000 0.5000 0.0000
0.5000 0.0000 0.0000
0.0000 0.0000 0.5000
0.5000 0.5000 0.5000

CaNb2H, relaxed, DFT PBE; energy above the lowest structure with this stoichiometry = 89 meV/atom
1.0
3.4884 0.0000 0.0000
0.3952 5.1798 0.0000
0.6178 1.9139 7.6646
Ca Nb H
2 4 2
Direct
0.2316 0.2406 0.0235
0.7684 0.7594 0.9765
0.2559 0.9586 0.6296
0.2977 0.5547 0.3645
0.7023 0.4453 0.6355
0.7441 0.0414 0.3704
0.3672 0.6165 0.8074
0.6328 0.3835 0.1926

Across the entries above, Fermi-level density of states takes the values 0.00 0.52 0.90 1.68 0.74 1.45 0.42 0.92 states/eV/atom, respectively.